Record 1
Material: RbBaFe3
Method: DFT, PBE
State: optimized geometry

Total magnetization in μB per atom: 1.813
E above lowest polymorph in eV/atom: 0.000
Energy of formation from the pure elements in eV/atom: 1.95

Structure (CIF):
```
data_RbBaFe3
_chemical_formula_sum 'Rb1 Ba1 Fe3'
_symmetry_space_group_name_H-M 'P m -3 m'
_symmetry_Int_Tables_number 221
_symmetry_space_group_name_Hall '-P 4 2 3'
_cell_length_a 5.730
_cell_length_b 5.730
_cell_length_c 5.730
_cell_angle_alpha 90.00
_cell_angle_beta 90.00
_cell_angle_gamma 90.00
loop_
_atom_site_label
_atom_site_fract_x
_atom_site_fract_y
_atom_site_fract_z
Rb1 0.000 0.000 0.000
Ba1 0.500 0.500 0.500
Fe1 0.000 0.500 0.500
```

***

Record 2
Material: LaBPdAu2
Method: DFT, PBE
State: optimized geometry

Total magnetization in μB per atom: 0.000
Energy of formation from the pure elements in eV/atom: -0.37

Structure (CIF):
```
data_LaBPdAu2
_chemical_formula_sum 'La1 B1 Pd1 Au2'
_symmetry_space_group_name_H-M 'P 4/m m m'
_symmetry_Int_Tables_number 123
_symmetry_space_group_name_Hall '-P 4 2'
_cell_length_a 4.502
_cell_length_b 4.502
_cell_length_c 4.625
_cell_angle_alpha 90.00
_cell_angle_beta 90.00
_cell_angle_gamma 90.00
loop_
_atom_site_label
_atom_site_fract_x
_atom_site_fract_y
_atom_site_fract_z
La1 0.000 0.000 0.000
B1 0.500 0.500 0.500
Pd1 0.500 0.500 0.000
Au1 0.000 0.500 0.500
```

***

Record 3
Material: KHfMg2Tc
Method: DFT, PBE
State: optimized geometry

Total magnetization in μB per atom: 0.269
Energy of formation from the pure elements in eV/atom: 2.08

Structure (CIF):
```
data_KHfMg2Tc
_chemical_formula_sum 'K1 Hf1 Mg2 Tc1'
_symmetry_space_group_name_H-M 'P 4/m m m'
_symmetry_Int_Tables_number 123
_symmetry_space_group_name_Hall '-P 4 2'
_cell_length_a 5.614
_cell_length_b 5.614
_cell_length_c 5.905
_cell_angle_alpha 90.00
_cell_angle_beta 90.00
_cell_angle_gamma 90.00
loop_
_atom_site_label
_atom_site_fract_x
_atom_site_fract_y
_atom_site_fract_z
K1 0.000 0.000 0.000
Hf1 0.000 0.000 0.500
Mg1 0.000 0.500 0.500
Tc1 0.500 0.500 0.000
```

***

Record 4
Material: PuAlZn
Method: DFT, PBE
State: optimized geometry

Total magnetization in μB per atom: 1.843
Energy of formation from the pure elements in eV/atom: -0.27

Structure (CIF):
```
data_PuAlZn
_chemical_formula_sum 'Pu4 Al4 Zn4'
_symmetry_space_group_name_H-M 'I m m a'
_symmetry_Int_Tables_number 74
_symmetry_space_group_name_Hall '-I 2b 2'
_cell_length_a 5.412
_cell_length_b 5.552
_cell_length_c 7.726
_cell_angle_alpha 90.00
_cell_angle_beta 90.00
_cell_angle_gamma 90.00
loop_
_atom_site_label
_atom_site_fract_x
_atom_site_fract_y
_atom_site_fract_z
Pu1 0.000 0.250 0.131
Al1 0.000 0.000 0.500
Zn1 0.250 0.250 0.750
```

***

Record 5
Material: Er2BeAg
Method: DFT, PBE
State: optimized geometry

Total magnetization in μB per atom: 0.000
E above lowest polymorph in eV/atom: 0.049
Energy of formation from the pure elements in eV/atom: -0.08

Structure (CIF):
```
data_Er2BeAg
_chemical_formula_sum 'Er8 Be4 Ag4'
_symmetry_space_group_name_H-M 'F m -3 m'
_symmetry_Int_Tables_number 225
_symmetry_space_group_name_Hall '-F 4 2 3'
_cell_length_a 7.022
_cell_length_b 7.022
_cell_length_c 7.022
_cell_angle_alpha 90.00
_cell_angle_beta 90.00
_cell_angle_gamma 90.00
loop_
_atom_site_label
_atom_site_fract_x
_atom_site_fract_y
_atom_site_fract_z
Er1 0.250 0.250 0.250
Be1 0.000 0.000 0.000
Ag1 0.000 0.000 0.500
```

***

Record 6
Material: HfAg2I
Method: DFT, PBE
State: optimized geometry

Total magnetization in μB per atom: 0.000
E above lowest polymorph in eV/atom: 0.067
Raw formation energy in eV per atom: 0.00

Structure (CIF):
```
data_HfAg2I
_chemical_formula_sum 'Hf4 Ag8 I4'
_symmetry_space_group_name_H-M 'C 1 m 1'
_symmetry_Int_Tables_number 8
_symmetry_space_group_name_Hall 'C -2y'
_cell_length_a 14.267
_cell_length_b 3.496
_cell_length_c 9.523
_cell_angle_alpha 90.00
_cell_angle_beta 122.32
_cell_angle_gamma 90.00
loop_
_atom_site_label
_atom_site_fract_x
_atom_site_fract_y
_atom_site_fract_z
Hf1 0.000 0.000 0.000
Hf2 0.151 0.500 0.935
Ag1 0.102 0.500 0.290
Ag2 0.245 0.000 0.240
Ag3 0.353 0.000 0.056
Ag4 0.446 0.500 0.325
I1 0.130 0.000 0.668
I2 0.408 0.000 0.709
```

***

Record 7
Material: As3ICl
Method: DFT, PBE
State: optimized geometry

Total magnetization in μB per atom: 0.000
E above lowest polymorph in eV/atom: 0.165
Raw formation energy in eV per atom: 1.28

Structure (CIF):
```
data_As3ICl
_chemical_formula_sum 'As3 I1 Cl1'
_symmetry_space_group_name_H-M 'P m -3 m'
_symmetry_Int_Tables_number 221
_symmetry_space_group_name_Hall '-P 4 2 3'
_cell_length_a 5.425
_cell_length_b 5.425
_cell_length_c 5.425
_cell_angle_alpha 90.00
_cell_angle_beta 90.00
_cell_angle_gamma 90.00
loop_
_atom_site_label
_atom_site_fract_x
_atom_site_fract_y
_atom_site_fract_z
As1 0.000 0.000 0.500
I1 0.000 0.000 0.000
Cl1 0.500 0.500 0.500
```

***

Record 8
Material: Tb4Ho7Sc
Method: DFT, PBE
State: optimized geometry

Total magnetization in μB per atom: 0.000
E above lowest polymorph in eV/atom: 0.000
Energy of formation from the pure elements in eV/atom: 0.01

Structure (CIF):
```
data_Tb4Ho7Sc
_chemical_formula_sum 'Tb4 Ho7 Sc1'
_symmetry_space_group_name_H-M 'P 1'
_symmetry_Int_Tables_number 1
_symmetry_space_group_name_Hall 'P 1'
_cell_length_a 6.137
_cell_length_b 7.093
_cell_length_c 8.732
_cell_angle_alpha 78.26
_cell_angle_beta 83.31
_cell_angle_gamma 90.00
loop_
_atom_site_label
_atom_site_fract_x
_atom_site_fract_y
_atom_site_fract_z
Tb1 0.000 0.000 0.000
Tb2 0.106 0.665 0.337
Tb3 0.501 0.254 0.996
Tb4 0.610 0.914 0.339
Ho1 0.111 0.168 0.334
Ho2 0.220 0.335 0.668
Ho3 0.220 0.831 0.667
Ho4 0.499 0.749 0.997
Ho5 0.611 0.418 0.339
Ho6 0.723 0.083 0.668
Ho7 0.995 0.501 0.997
Sc1 0.721 0.583 0.668
```

***

Record 9
Material: Ba2NaCuPt
Method: DFT, PBE
State: optimized geometry

Total magnetization in μB per atom: 0.000
Energy of formation from the pure elements in eV/atom: -0.20

Structure (CIF):
```
data_Ba2NaCuPt
_chemical_formula_sum 'Ba2 Na1 Cu1 Pt1'
_symmetry_space_group_name_H-M 'P 4/m m m'
_symmetry_Int_Tables_number 123
_symmetry_space_group_name_Hall '-P 4 2'
_cell_length_a 6.190
_cell_length_b 6.190
_cell_length_c 4.940
_cell_angle_alpha 90.00
_cell_angle_beta 90.00
_cell_angle_gamma 90.00
loop_
_atom_site_label
_atom_site_fract_x
_atom_site_fract_y
_atom_site_fract_z
Ba1 0.000 0.500 0.000
Na1 0.000 0.000 0.500
Cu1 0.500 0.500 0.500
Pt1 0.500 0.500 0.000
```

***

Record 10
Material: MnNbVGaCu
Method: DFT, PBE
State: optimized geometry

Total magnetization in μB per atom: 0.259
E above lowest polymorph in eV/atom: 0.029
Energy of formation from the pure elements in eV/atom: -0.01

Structure (CIF):
```
data_MnNbVGaCu
_chemical_formula_sum 'Mn2 Nb2 V2 Ga2 Cu2'
_symmetry_space_group_name_H-M 'C 1 m 1'
_symmetry_Int_Tables_number 8
_symmetry_space_group_name_Hall 'C -2y'
_cell_length_a 12.995
_cell_length_b 4.091
_cell_length_c 2.721
_cell_angle_alpha 90.00
_cell_angle_beta 99.82
_cell_angle_gamma 90.00
loop_
_atom_site_label
_atom_site_fract_x
_atom_site_fract_y
_atom_site_fract_z
Mn1 0.000 0.000 0.000
Nb1 0.201 0.000 0.810
V1 0.090 0.500 0.306
Ga1 0.406 0.000 0.519
Cu1 0.302 0.500 0.372
```

***

Record 11
Material: La5InPt2
Method: DFT, PBE
State: optimized geometry

Total magnetization in μB per atom: 0.000
Energy of formation from the pure elements in eV/atom: -0.77

Structure (CIF):
```
data_La5InPt2
_chemical_formula_sum 'La20 In4 Pt8'
_symmetry_space_group_name_H-M 'I 4/m c m'
_symmetry_Int_Tables_number 140
_symmetry_space_group_name_Hall '-I 4 2c'
_cell_length_a 8.230
_cell_length_b 8.230
_cell_length_c 14.117
_cell_angle_alpha 90.00
_cell_angle_beta 90.00
_cell_angle_gamma 90.00
loop_
_atom_site_label
_atom_site_fract_x
_atom_site_fract_y
_atom_site_fract_z
La1 0.000 0.000 0.000
La2 0.160 0.340 0.138
In1 0.000 0.000 0.250
Pt1 0.136 0.364 0.500
```

***

Record 12
Material: CdReAu4
Method: DFT, PBE
State: optimized geometry

Total magnetization in μB per atom: 0.542
Energy of formation from the pure elements in eV/atom: 0.65

Structure (CIF):
```
data_CdReAu4
_chemical_formula_sum 'Cd4 Re4 Au16'
_symmetry_space_group_name_H-M 'F -4 3 m'
_symmetry_Int_Tables_number 216
_symmetry_space_group_name_Hall 'F -4 2 3'
_cell_length_a 7.741
_cell_length_b 7.741
_cell_length_c 7.741
_cell_angle_alpha 90.00
_cell_angle_beta 90.00
_cell_angle_gamma 90.00
loop_
_atom_site_label
_atom_site_fract_x
_atom_site_fract_y
_atom_site_fract_z
Cd1 0.000 0.000 0.000
Re1 0.250 0.250 0.750
Au1 0.125 0.125 0.375
```

***

> Which of these has the highest total magnetization?

PuAlZn

***

> What is the formula in the twelfth record?

CdReAu4

***

> What is the formula in the sixth record?

HfAg2I

***

Copy entry 4 word for word.
Material: PuAlZn
Method: DFT, PBE
State: optimized geometry

Total magnetization in μB per atom: 1.843
Energy of formation from the pure elements in eV/atom: -0.27

Structure (CIF):
```
data_PuAlZn
_chemical_formula_sum 'Pu4 Al4 Zn4'
_symmetry_space_group_name_H-M 'I m m a'
_symmetry_Int_Tables_number 74
_symmetry_space_group_name_Hall '-I 2b 2'
_cell_length_a 5.412
_cell_length_b 5.552
_cell_length_c 7.726
_cell_angle_alpha 90.00
_cell_angle_beta 90.00
_cell_angle_gamma 90.00
loop_
_atom_site_label
_atom_site_fract_x
_atom_site_fract_y
_atom_site_fract_z
Pu1 0.000 0.250 0.131
Al1 0.000 0.000 0.500
Zn1 0.250 0.250 0.750
```